w.
Hf6AlPb | GGA-PBE | optimized geometry

```
8
Lattice="-3.0485 0.7890 -2.9989 1.4956 -3.3099 -2.3911 -5.6390 -5.6207 4.2533" Properties=species:S:1:pos:R:3 pbc="T T T"
Hf -0.7765 -1.2604 -2.6950
Hf -3.5960 -4.0708 -0.5683
Hf -3.0121 -1.0885 -0.3772
Hf -5.6754 -3.7432 1.6317
Hf -0.7400 -3.1379 -0.0733
Hf -3.4034 -5.7926 1.9356
Al -2.8195 -2.8103 2.1267
Pb 0.0000 0.0000 0.0000
```

- DOS(E_F) (states/eV per cell) = 7.340
- total magnetic moment (μB/f.u.) = 0.0
- space group = No. 123

***

x.
Hf6AlPb | GGA-PBE | optimized geometry

```
8
Lattice="6.3100 -0.6050 -0.6791 -2.9091 5.6320 -0.6791 -1.2203 -1.8038 5.9770" Properties=species:S:1:pos:R:3 pbc="T T T"
Hf -0.0422 -0.0624 4.0889
Hf 2.6337 -0.6391 1.2283
Hf 2.2229 3.2857 0.5299
Hf 3.7537 1.0164 3.3905
Hf -0.4531 3.8624 3.3905
Hf -1.5731 2.2069 1.2283
Al 1.0903 1.6116 2.3094
Pb 0.0000 0.0000 0.0000
```

- DOS(E_F) (states/eV per cell) = 7.198
- total magnetic moment (μB/f.u.) = 0.0
- space group = No. 12

***

Decreasing stability: w, x

***

w.
Hf3AlPb | GGA-PBE | optimized geometry

```
5
Lattice="4.9835 0.0000 0.0000 0.0000 4.9835 0.0000 0.0000 0.0000 4.9835" Properties=species:S:1:pos:R:3 pbc="T T T"
Pb 2.4917 2.4917 2.4917
Hf 0.0000 2.4917 0.0000
Hf 0.0000 0.0000 2.4917
Hf 2.4917 0.0000 0.0000
Al 0.0000 0.0000 0.0000
```

- DOS(E_F) (states/eV per cell) = 5.116
- total magnetic moment (μB/f.u.) = 0.0
- space group = No. 221

***

x.
Hf3AlPb | GGA-PBE | optimized geometry

```
5
Lattice="-3.6015 -3.0859 -2.3031 2.6569 -4.2740 1.5719 -2.7870 -0.0869 4.4746" Properties=species:S:1:pos:R:3 pbc="T T T"
Pb 0.0000 0.0000 0.0000
Hf 1.3285 -2.1370 0.7859
Hf -1.3935 -0.0434 2.2373
Hf -1.8007 -1.5429 -1.1515
Al -1.8658 -3.7234 1.8717
```

- DOS(E_F) (states/eV per cell) = 5.399
- total magnetic moment (μB/f.u.) = 0.0
- space group = No. 221

***

Decreasing stability: w, x

***

w.
HfAlPd5 | GGA-PBE | optimized geometry

```
7
Lattice="-0.3338 1.2684 3.8239 0.0838 -3.8340 1.2791 6.9648 0.3198 0.5019" Properties=species:S:1:pos:R:3 pbc="T T T"
Hf 3.4824 0.1599 0.2510
Al -0.1250 -1.2828 2.5515
Pd 5.4959 -1.6666 1.0326
Pd 1.5528 -1.8477 0.7484
Pd 5.2871 0.8846 2.3050
Pd 1.3440 0.7036 2.0209
Pd 3.3574 -1.1229 2.8025
```

- DOS(E_F) (states/eV per cell) = 1.676
- total magnetic moment (μB/f.u.) = 0.0
- space group = No. 123

***

x.
HfAlPd5 | GGA-PBE | optimized geometry

```
14
Lattice="5.4215 0.4331 1.1169 2.1307 5.0040 1.1169 3.9344 2.8325 10.3117" Properties=species:S:1:pos:R:3 pbc="T T T"
Hf 5.0737 2.9905 3.6948
Hf 6.4129 5.2791 8.8507
Al 0.0000 0.0000 0.0000
Al 1.9672 1.4162 5.1558
Pd 6.0039 5.6320 4.4324
Pd 4.3756 3.8874 5.9564
Pd 9.2130 5.3232 9.5882
Pd 3.3323 5.4093 3.6948
Pd 4.4445 3.9371 1.4333
Pd 7.0420 4.3325 11.1122
Pd 8.1542 2.8603 8.8507
Pd 2.2736 2.9464 2.9573
Pd 7.1109 4.3821 6.5891
Pd 5.4827 2.6376 8.1131
```

- DOS(E_F) (states/eV per cell) = 4.931
- total magnetic moment (μB/f.u.) = 0.0
- space group = No. 15

***

Decreasing stability: w, x